## MgNbPtRh (PBE-GGA)

Data for a relaxed structure of MgNbPtRh.

Unit cell a=4.5124 b=4.5124 c=4.5124 alpha=60.00 beta=60.00 gamma=60.00
Atoms (fractional coordinates):
Mg (0.0000, 0.0000, 0.0000)
Nb (0.5000, 0.5000, 0.5000)
Pt (0.7500, 0.7500, 0.7500)
Rh (0.2500, 0.2500, 0.2500)

Results
Fermi-level density of states   1.16 states/eV/atom
Crystal system   cubic
Energy relative to the elements   -532 meV per atom
Total magnetic moment   0.00 μB/atom
Total energy   -27.19 eV per cell